1.
10
Lattice="6.690 0.000 0.000 0.000 6.690 0.000 0.000 0.000 3.899" Properties=species:S:1:pos:R:3 comment="PBE Li2IrSe2, relaxed" volume_a3_per_atom=17.447 sg="P4/mbm (127)" formation_energy_uncorrected_mev_per_atom=-489 crystal_system=tetragonal pbc="T T T"
Li 1.016 2.329 0.000
Li 2.329 5.673 0.000
Li 4.361 1.016 0.000
Li 5.673 4.361 0.000
Ir 0.000 0.000 1.949
Ir 3.345 3.345 1.949
Se 1.115 4.459 1.949
Se 2.230 1.115 1.949
Se 4.459 5.575 1.949
Se 5.575 2.230 1.949

2.
4
Lattice="0.000 3.218 3.218 3.218 0.000 3.218 3.218 3.218 0.000" Properties=species:S:1:pos:R:3 comment="PBE LiIrSe2, relaxed" volume_a3_per_atom=16.661 sg="F-43m (216)" formation_energy_uncorrected_mev_per_atom=374 crystal_system=cubic pbc="T T T"
Li 0.000 0.000 0.000
Ir 4.827 4.827 4.827
Se 1.609 1.609 1.609
Se 3.218 3.218 3.218

3.
4
Lattice="3.196 0.000 0.000 0.000 3.196 0.000 0.000 0.000 6.693" Properties=species:S:1:pos:R:3 comment="PBE LiIrSe2, relaxed" volume_a3_per_atom=17.087 sg="P4/mmm (123)" formation_energy_uncorrected_mev_per_atom=-36 crystal_system=tetragonal pbc="T T T"
Li 0.000 0.000 0.000
Ir 0.000 0.000 3.347
Se 1.598 1.598 1.807
Se 1.598 1.598 4.886

4.
4
Lattice="1.420 0.820 8.380 -1.420 0.820 8.380 0.000 -1.640 8.380" Properties=species:S:1:pos:R:3 comment="PBE Li2IrSe, relaxed" volume_a3_per_atom=14.639 sg="R-3m (166)" formation_energy_uncorrected_mev_per_atom=-267 crystal_system=trigonal pbc="T T T"
Li 0.000 0.000 6.291
Li 0.000 0.000 18.849
Ir 0.000 0.000 0.000
Se 0.000 0.000 12.570

5.
4
Lattice="4.232 0.000 0.000 0.000 4.232 0.000 0.000 0.000 3.128" Properties=species:S:1:pos:R:3 comment="PBE LiIr2Se, relaxed" volume_a3_per_atom=14.005 sg="P4/mmm (123)" formation_energy_uncorrected_mev_per_atom=124 crystal_system=tetragonal pbc="T T T"
Li 0.000 0.000 0.000
Ir 0.000 2.116 1.564
Ir 2.116 0.000 1.564
Se 2.116 2.116 0.000

6.
4
Lattice="1.915 1.106 7.291 -1.915 1.106 7.291 0.000 -2.211 7.291" Properties=species:S:1:pos:R:3 comment="PBE LiIrSe2, relaxed" volume_a3_per_atom=23.152 sg="R-3m (166)" formation_energy_uncorrected_mev_per_atom=-468 crystal_system=trigonal pbc="T T T"
Li 0.000 0.000 0.000
Ir 0.000 0.000 10.936
Se 0.000 0.000 2.426
Se 0.000 0.000 19.446

Copy entry 5 word for word.
4
Lattice="4.232 0.000 0.000 0.000 4.232 0.000 0.000 0.000 3.128" Properties=species:S:1:pos:R:3 comment="PBE LiIr2Se, relaxed" volume_a3_per_atom=14.005 sg="P4/mmm (123)" formation_energy_uncorrected_mev_per_atom=124 crystal_system=tetragonal pbc="T T T"
Li 0.000 0.000 0.000
Ir 0.000 2.116 1.564
Ir 2.116 0.000 1.564
Se 2.116 2.116 0.000